Entry 1:
# Li7GaAg2 | Alexandria via LeMat-Bulk | PBE-GGA | relaxed
data_Li7GaAg2
_cell_length_a 4.4664
_cell_length_b 7.5464
_cell_length_c 7.5464
_cell_angle_alpha 120.46
_cell_angle_beta 90.00
_cell_angle_gamma 90.00
_symmetry_space_group_name_H-M 'P 1'
_symmetry_Int_Tables_number 1
_symmetry_space_group_name_Hall 'P 1'
loop_
_atom_site_label
_atom_site_fract_x
_atom_site_fract_y
_atom_site_fract_z
Li1 0.5000 0.2849 0.0642
Li2 0.5000 0.0642 0.2849
Li3 0.5000 0.5000 0.5000
Ga1 0.0000 0.0000 0.0000
Ag1 0.5000 0.3015 0.6985
Li4 0.5000 0.9358 0.7151
Li5 0.0000 0.7884 0.2116
Li6 0.5000 0.7151 0.9358
Ag2 0.5000 0.6985 0.3015
Li7 0.0000 0.2116 0.7884
# VASP energy (eV/f.u.): -21.431
# Energy above the lowest structure with this stoichiometry (eV/atom): 0.189
# Energy of formation (kJ per mole of atoms): 7
# Density of states at the Fermi level (states/eV/f.u.): 4.12

Entry 2:
# Sm4Bi5Te | Alexandria via LeMat-Bulk | PBE-GGA | relaxed
data_Sm4Bi5Te
_cell_length_a 4.5607
_cell_length_b 8.4815
_cell_length_c 9.5455
_cell_angle_alpha 73.14
_cell_angle_beta 103.82
_cell_angle_gamma 90.00
_symmetry_space_group_name_H-M 'P 1'
_symmetry_Int_Tables_number 1
_symmetry_space_group_name_Hall 'P 1'
loop_
_atom_site_label
_atom_site_fract_x
_atom_site_fract_y
_atom_site_fract_z
Bi1 0.1382 0.3305 0.2763
Sm1 0.0478 0.7292 0.0956
Te1 0.5000 0.0000 0.0000
Sm2 0.6600 0.0378 0.3201
Bi2 0.7851 0.2454 0.5702
Bi3 0.2149 0.7546 0.4298
Sm3 0.3400 0.9622 0.6799
Bi4 0.5000 0.5000 0.0000
Bi5 0.8618 0.6695 0.7237
Sm4 0.9522 0.2708 0.9044
# Formation energy from raw total energies (eV/atom): -0.69
# VASP energy (eV/f.u.): -48.335
# Density of states at the Fermi level (states/eV/f.u.): 5.42

Entry 3:
# Cs2TmZn2Se4 | Alexandria via LeMat-Bulk | PBE-GGA | relaxed
data_Cs2TmZn2Se4
_cell_length_a 4.1164
_cell_length_b 8.6625
_cell_length_c 8.5244
_cell_angle_alpha 111.16
_cell_angle_beta 103.97
_cell_angle_gamma 90.00
_symmetry_space_group_name_H-M 'P 1'
_symmetry_Int_Tables_number 1
_symmetry_space_group_name_Hall 'P 1'
loop_
_atom_site_label
_atom_site_fract_x
_atom_site_fract_y
_atom_site_fract_z
Cs1 0.1301 0.5621 0.2602
Se1 0.8165 0.8122 0.6330
Zn1 0.6825 0.0106 0.3650
Zn2 0.3175 0.9894 0.6350
Cs2 0.8699 0.4379 0.7398
Se2 0.4695 0.2036 0.9390
Se3 0.5305 0.7964 0.0610
Tm1 0.0000 0.0000 0.0000
Se4 0.1835 0.1878 0.3670
# Formation energy from raw total energies (eV/atom): -1.09
# VASP energy (eV/f.u.): -32.508
# Density of states at the Fermi level (states/eV/f.u.): 3.88

Entry 4:
# Tb8Y3Tm | Alexandria via LeMat-Bulk | PBE-GGA | relaxed
data_Tb8Y3Tm
_cell_length_a 7.7045
_cell_length_b 7.7045
_cell_length_c 9.4371
_cell_angle_alpha 114.09
_cell_angle_beta 114.09
_cell_angle_gamma 90.00
_symmetry_space_group_name_H-M 'P 1'
_symmetry_Int_Tables_number 1
_symmetry_space_group_name_Hall 'P 1'
loop_
_atom_site_label
_atom_site_fract_x
_atom_site_fract_y
_atom_site_fract_z
Tb1 0.1243 0.6274 0.7517
Tb2 0.8757 0.3726 0.2483
Y1 0.5000 0.5000 0.0000
Tb3 0.8757 0.8757 0.2483
Tm1 0.0000 0.0000 0.0000
Y2 0.7500 0.2500 0.5000
Tb4 0.3726 0.3726 0.2483
Tb5 0.6274 0.1243 0.7517
Y3 0.2500 0.7500 0.5000
Tb6 0.1243 0.1243 0.7517
Tb7 0.3726 0.8757 0.2483
Tb8 0.6274 0.6274 0.7517
# VASP energy (eV/f.u.): -51.965
# Energy of formation (kJ per mole of atoms): 72
# Density of states at the Fermi level (states/eV/f.u.): 14.89